1.
Below is a relaxed structure of MnVZnP2, with properties calculated at the PBE level.

a b c (Å): 4.441 4.665 4.441
angles (deg): 90.00 90.00 90.00
Last column: magnetic moment on the atom in μB.
Atoms (fractional coordinates):
P 0.000 0.000 0.500  0.02
P 0.500 0.000 0.000  0.01
Zn 0.000 0.500 0.000  -0.01
Mn 0.500 0.500 0.500  -0.16
V 0.000 0.000 0.000  -0.12

Calculated values
For the density of states at the Fermi level, the calculation gives 1.511 states/eV/atom. The value obtained for the final energy is -5.097 eV per atom. The value obtained for the total magnetic moment is 0.25 μB per formula unit. The value obtained for the energy of formation is 980 meV/atom.


2.
Below is a relaxed structure of Ac6AgPd2I3, with properties calculated at the PBE level.

a b c (Å): 7.872 7.872 8.963
angles (deg): 98.44 98.44 119.98
Atoms (fractional coordinates):
Ac 0.936 0.589 0.808
Ac 0.718 0.718 0.192
Ac 0.064 0.411 0.192
Ac 0.589 0.936 0.808
Ac 0.282 0.282 0.808
Ac 0.411 0.064 0.192
Ag 0.000 0.000 0.000
Pd 0.333 0.667 0.000
Pd 0.667 0.333 0.000
I 0.164 0.836 0.500
I 0.836 0.164 0.500
I 0.500 0.500 0.500

Calculated values
For the density of states at the Fermi level, the calculation gives 0.760 states/eV/atom. The value obtained for the final energy is -4.373 eV per atom. The value obtained for the total magnetic moment is 0.00 μB per formula unit. As for the uncorrected formation energy: -0.828 eV per atom.


3.
Below is a relaxed structure of CaMg2P, with properties calculated at the PBE level.

a b c (Å): 7.987 7.987 7.987
angles (deg): 29.27 29.27 29.27
Atoms (fractional coordinates):
Ca 0.250 0.250 0.250
Mg 0.032 0.032 0.032
Mg 0.468 0.468 0.468
P 0.750 0.750 0.750

Calculated values
For the density of states at the Fermi level, the calculation gives 0.352 states/eV/atom. The value obtained for the final energy is -2.931 eV per atom. The value obtained for the total magnetic moment is 0.00 μB per formula unit. The value obtained for the energy of formation is -281 meV/atom.